Computed, not measured: Co3P5 after structural relaxation at the PBE-GGA level of DFT.

Computed properties:
**Fermi-level density of states**: 0.53 states/eV per atom
**DFT formation energy**: -0.6 kcal/mol of atoms
**Offset from the most stable computed form**: 0.00 kJ per mole of atoms
**Crystal system**: orthorhombic

Unit cell a=7.2195 b=7.2215 c=6.3945 alpha=102.94 beta=102.93 gamma=127.13
With the nearest neighbours (Å) after each atom.
Sites, in units of the cell vectors:
P1 0.2297 0.7304 0.5000  4 Co 2.16-2.25
P2 0.7691 0.2695 0.5000  4 Co 2.16-2.25
P3 0.8179 0.0701 0.8887  4 Co 2.17-2.37, 1 P 2.18
P4 0.1811 0.9297 0.1112  4 Co 2.17-2.37, 1 P 2.18
P5 0.7060 0.5579 0.2635  1 P 2.18, 3 Co 2.31-2.37
P6 0.2937 0.4426 0.7365  1 P 2.18, 3 Co 2.31-2.37
P7 0.5699 0.3185 0.8888  4 Co 2.17-2.37, 1 P 2.18
P8 0.4292 0.6813 0.1113  4 Co 2.17-2.37, 1 P 2.18
P9 0.0572 0.2061 0.2635  1 P 2.18, 3 Co 2.31-2.37
P10 0.9424 0.7944 0.7365  1 P 2.18, 3 Co 2.31-2.37
Co1 0.7497 0.7500 0.0000  8 P 2.37
Co2 0.2497 0.2501 0.0000  8 P 2.37
Co3 0.3999 0.0994 0.5000  4 P 2.16-2.17
Co4 0.5988 0.9004 0.5000  4 P 2.16-2.17
Co5 0.1528 0.6532 0.8066  6 P 2.25-2.33
Co6 0.8462 0.3466 0.1934  6 P 2.25-2.33

=====

Computed, not measured: CoP after structural relaxation at the PBE-GGA level of DFT.

Computed properties:
**Fermi-level density of states**: 0.53 states/eV per atom
**DFT formation energy**: -6.0 kcal/mol of atoms
**Crystal system**: tetragonal

Unit cell a=6.7246 b=6.7246 c=2.6429 alpha=90.00 beta=90.00 gamma=90.00
With the nearest neighbours (Å) after each atom.
Sites, in units of the cell vectors:
Co1 0.3646 0.3646 0.0000  4 P 2.15-2.19
Co2 0.8646 0.1354 0.5000  4 P 2.15-2.19
Co3 0.1354 0.8646 0.5000  4 P 2.15-2.19
Co4 0.6354 0.6354 0.0000  4 P 2.15-2.19
P1 0.3141 0.6859 0.0000  4 Co 2.15-2.19
P2 0.8141 0.8141 0.5000  4 Co 2.15-2.19
P3 0.1859 0.1859 0.5000  4 Co 2.15-2.19
P4 0.6859 0.3141 0.0000  4 Co 2.15-2.19

=====

Computed, not measured: CoP after structural relaxation at the PBE-GGA level of DFT.

Computed properties:
**Fermi-level density of states**: 0.77 states/eV per atom
**DFT formation energy**: -6.1 kcal/mol of atoms
**Crystal system**: monoclinic

Unit cell a=4.1420 b=5.0887 c=3.0174 alpha=72.75 beta=68.64 gamma=50.86
With the nearest neighbours (Å) after each atom.
Sites, in units of the cell vectors:
Co1 0.0569 0.9812 0.9809  5 P 2.25-2.42, 1 Co 2.50
Co2 0.8597 0.6021 0.7691  5 P 2.25-2.42, 1 Co 2.50
P1 0.5053 0.5081 0.4933  5 Co 2.25-2.42
P2 0.4114 0.0753 0.2567  5 Co 2.25-2.42

=====

Computed, not measured: CoP3 after structural relaxation at the PBE-GGA level of DFT.

Computed properties:
**Fermi-level density of states**: 0.39 states/eV per atom
**DFT formation energy**: 18.0 kcal/mol of atoms
**Offset from the most stable computed form**: 123.19 kJ per mole of atoms
**Crystal system**: cubic

Unit cell a=4.3484 b=4.3484 c=4.3484 alpha=90.00 beta=90.00 gamma=90.00
With the nearest neighbours (Å) after each atom.
Sites, in units of the cell vectors:
Co1 0.0000 0.0000 0.0000  6 P 2.17
P1 0.5000 0.0000 0.0000  2 Co 2.17
P2 0.0000 0.5000 0.0000  2 Co 2.17
P3 0.0000 0.0000 0.5000  2 Co 2.17

=====

Question: Which of these has the highest Fermi-level density of states?
Answer: number 3